Record 1
Y8GaPd2: optimized geometry, GGA-PBE.

* E: -0.229 hartree per atom
* formation energy: -3.49 eV per formula unit
* crystal system: monoclinic
* SG: Cm
* N(E_F): 14.7 states/eV/cell

a b c (Å): 5.703 7.910 7.910
angles (deg): 114.47 98.89 98.89
Fractional coordinates of all 11 atoms:
1 Y 0.582 0.335 0.084
2 Y 0.582 0.084 0.335
3 Y 0.183 0.383 0.383
4 Y 0.991 0.225 0.771
5 Y 0.991 0.771 0.225
6 Y 0.808 0.635 0.635
7 Y 0.377 0.920 0.664
8 Y 0.377 0.664 0.920
9 Pd 0.499 0.700 0.311
10 Pd 0.499 0.311 0.700
11 Ga 0.110 0.005 0.005

Record 2
TeWS: optimized geometry, GGA-PBE.

* E: -0.241 hartree per atom
* crystal system: monoclinic
* uncorrected formation energy: 173 meV per atom
* SG: P2_1/c
* N(E_F): 8.8 states/eV/cell

a b c (Å): 6.413 6.153 9.017
angles (deg): 105.34 90.00 90.00
Fractional coordinates of all 12 atoms:
1 W 0.650 0.259 0.688
2 W 0.150 0.741 0.812
3 W 0.350 0.741 0.312
4 W 0.850 0.259 0.188
5 Te 0.305 0.958 0.613
6 Te 0.195 0.958 0.113
7 Te 0.695 0.042 0.387
8 Te 0.805 0.042 0.887
9 S 0.567 0.476 0.186
10 S 0.933 0.476 0.686
11 S 0.433 0.524 0.814
12 S 0.067 0.524 0.314

Q: Which of these has the lowest N(E_F)?
A: TeWS

Q: Which value of N(E_F) does entry 1 give?
A: 14.7 states/eV/cell

Q: Which formula does entry 2 have?
A: TeWS